Density functional theory data (PBE) for crystalline Ba2ZnN at its relaxed geometry.

Cell lengths 3.984, 3.984, 10.347 Å; angles 78.90, 78.90, 60.00 degrees
Sites, in units of the cell vectors:
Zn 0.000 0.000 0.000
Ba 0.117 0.117 0.650
Ba 0.883 0.883 0.350
N 0.500 0.500 0.500

Summary:
uncorrected formation energy: -0.109 eV/atom
calculated density: 4.24 g/cm3
offset from the most stable computed form: 178.8 meV per atom
space-group type: R-3m
D(E_F): 2.45 states/eV/f.u.
magnetization: 0.000 μB per cell